12
Lattice="2.948 -4.983 0.000 2.948 4.983 0.000 -2.027 0.000 6.420" Properties=species:S:1:pos:R:3 comment="Rb3PuFe2O6 (PBE with a Hubbard U, optimized geometry)" e_tot_ev_per_atom=-6.60 total_magnetization_mub_per_fu=11.0 pbc="T T T"
Rb 0.000 0.000 0.000
Rb 2.948 1.724 0.000
Rb 2.948 -1.724 0.000
Pu 1.935 0.000 3.210
Fe 1.935 3.341 3.210
Fe 1.935 -3.341 3.210
O 1.048 1.612 2.092
O -0.008 0.000 4.303
O 1.048 -1.612 2.092
O 2.821 1.612 4.329
O 3.877 0.000 2.117
O 2.821 -1.612 4.329